(1)
Te2IrAu: optimized geometry, PBE.

The structure in POSCAR format:
```
Te2IrAu
1.0
6.792 0.041 -0.017
4.556 5.037 0.017
-5.467 -3.001 2.690
Te Ir Au
2 1 1
direct
0.063 0.063 0.000 Te
0.777 0.277 0.500 Te
0.225 0.725 0.500 Ir
0.435 0.435 0.000 Au
```

Values from the calculation:
relative energy among the computed polymorphs: 0.434 eV per atom
formation energy without anion corrections: 27 kJ/mol of atoms



(2)
K2Sc2AlSe6: optimized geometry, PBE.

The structure in POSCAR format:
```
K2Sc2AlSe6
1.0
6.613 -0.014 0.040
-3.281 5.742 0.040
-1.207 -2.075 7.952
Se K Sc Al
6 2 2 1
direct
0.254 0.254 0.311 Se
0.746 0.746 0.689 Se
0.389 0.069 0.692 Se
0.931 0.611 0.308 Se
0.611 0.931 0.308 Se
0.069 0.389 0.692 Se
0.170 0.830 0.000 K
0.830 0.170 0.000 K
0.668 0.332 0.500 Sc
0.332 0.668 0.500 Sc
0.000 0.000 0.500 Al
```

Values from the calculation:
formation energy without anion corrections: -127 kJ/mol of atoms



(3)
BaTl2N: optimized geometry, PBE.

The structure in POSCAR format:
```
BaTl2N
1.0
-7.806 1.770 -3.356
-1.975 -8.451 0.137
-5.975 -3.044 1.068
Tl Ba N
4 2 2
direct
0.375 0.465 0.750 Tl
0.535 0.125 0.250 Tl
0.215 0.625 0.250 Tl
0.875 0.785 0.750 Tl
0.750 0.250 0.500 Ba
0.000 0.000 0.000 Ba
0.500 0.500 0.000 N
0.250 0.750 0.500 N
```

Values from the calculation:
relative energy among the computed polymorphs: 0.000 eV per atom
formation energy without anion corrections: 23 kJ/mol of atoms



(4)
MnSnIrPt: optimized geometry, PBE.

The structure in POSCAR format:
```
MnSnIrPt
1.0
4.723 0.358 -0.472
2.650 3.929 -0.455
2.053 1.177 3.384
Mn Sn Ir Pt
1 1 1 1
direct
0.578 0.483 0.178 Mn
0.078 0.983 0.678 Sn
0.828 0.733 0.428 Ir
0.328 0.233 0.928 Pt
```

Values from the calculation:
DFT formation energy: -1.19 eV/f.u.



(5)
Mg3PN: optimized geometry, PBE.

The structure in POSCAR format:
```
Mg3PN
1.0
-5.902 0.190 0.192
-3.125 -4.623 -1.940
-2.896 -3.388 3.878
Mg P N
6 2 2
direct
0.801 0.691 0.246 Mg
0.301 0.746 0.191 Mg
0.246 0.801 0.691 Mg
0.691 0.246 0.801 Mg
0.746 0.191 0.301 Mg
0.191 0.301 0.746 Mg
0.246 0.246 0.246 P
0.746 0.746 0.746 P
0.996 0.996 0.996 N
0.496 0.496 0.496 N
```

Values from the calculation:
relative energy among the computed polymorphs: 0.055 eV per atom
formation energy without anion corrections: -66 kJ/mol of atoms



(6)
Sc2BeIrC: optimized geometry, PBE.

The structure in POSCAR format:
```
Sc2BeIrC
1.0
4.607 0.000 0.000
0.000 4.607 0.000
0.000 0.000 3.347
Ir Sc Be C
1 2 1 1
direct
0.500 0.500 0.500 Ir
0.000 0.500 0.000 Sc
0.500 0.000 0.000 Sc
0.000 0.000 0.500 Be
0.000 0.000 0.000 C
```

Values from the calculation:
DFT formation energy: -2.61 eV/f.u.



(7)
KPaPbO6: optimized geometry, PBE.

The structure in POSCAR format:
```
KPaPbO6
1.0
-0.138 -2.455 4.275
4.173 -3.740 -2.014
1.590 4.954 2.897
O Pa K Pb
6 1 1 1
direct
0.249 0.073 0.736 O
0.751 0.073 0.337 O
0.751 0.264 0.927 O
0.249 0.663 0.927 O
0.751 0.663 0.736 O
0.249 0.264 0.337 O
0.000 0.333 0.667 Pa
0.500 0.667 0.333 K
0.500 0.000 0.000 Pb
```

Values from the calculation:
formation energy without anion corrections: -161 kJ/mol of atoms



(8)
GdTmAl: optimized geometry, PBE.

The structure in POSCAR format:
```
GdTmAl
1.0
3.205 0.000 0.000
0.000 3.205 0.000
-1.603 -1.603 8.733
Gd Tm Al
1 1 1
direct
0.774 0.774 0.549 Gd
0.124 0.124 0.249 Tm
0.951 0.951 0.903 Al
```

Values from the calculation:
relative energy among the computed polymorphs: 0.582 eV per atom
DFT formation energy: 1.30 eV/f.u.